Entry 1:
Computed, not measured: an optimized crystal structure of CeSn2Rh at the GGA-PBE level of DFT. Values from VASP.

Computed properties:
ΔH_f (0 K), eV/atom: -0.691
D(E_F), states/eV/f.u.: 6.1

Geometry as Quantum ESPRESSO input:
```
&SYSTEM
  ibrav = 0, nat = 16, ntyp = 3
/
ATOMIC_SPECIES
Ce 140.12 Ce.upf
Sn 118.71 Sn.upf
Rh 102.91 Rh.upf
CELL_PARAMETERS angstrom
8.8958 -0.0014 0.0000
-7.7092 4.4388 0.0000
0.0000 0.0000 9.6315
ATOMIC_POSITIONS crystal
Ce 0.7036 0.2964 0.7500
Ce 0.2964 0.7036 0.2500
Ce 0.5000 0.5000 0.5000
Ce 0.5000 0.5000 0.0000
Sn 0.6987 0.3013 0.4100
Sn 0.3013 0.6987 0.5900
Sn 0.3013 0.6987 0.9100
Sn 0.6987 0.3013 0.0900
Sn 0.9093 0.0907 0.7500
Sn 0.0907 0.9093 0.2500
Sn 0.0729 0.9271 0.7500
Sn 0.9271 0.0729 0.2500
Rh 0.8540 0.1460 0.4931
Rh 0.1460 0.8540 0.5069
Rh 0.1460 0.8540 0.9931
Rh 0.8540 0.1460 0.0069
```

Entry 2:
Computed, not measured: an optimized crystal structure of Ce3Sn13Rh4 at the GGA-PBE level of DFT. Values from VASP.

Computed properties:
ΔH_f (0 K), eV/atom: -0.557
D(E_F), states/eV/f.u.: 19.7

Geometry as Quantum ESPRESSO input:
```
&SYSTEM
  ibrav = 0, nat = 40, ntyp = 3
/
ATOMIC_SPECIES
Ce 140.12 Ce.upf
Sn 118.71 Sn.upf
Rh 102.91 Rh.upf
CELL_PARAMETERS angstrom
9.7900 0.0000 0.0000
0.0000 9.7900 0.0000
0.0000 0.0000 9.7900
ATOMIC_POSITIONS crystal
Ce 0.5000 0.0000 0.7500
Ce 0.0000 0.2500 0.5000
Ce 0.7500 0.5000 0.0000
Ce 0.5000 0.0000 0.2500
Ce 0.0000 0.7500 0.5000
Ce 0.2500 0.5000 0.0000
Sn 0.5000 0.5000 0.5000
Sn 0.0000 0.0000 0.0000
Sn 0.6528 0.1917 0.5000
Sn 0.8083 0.5000 0.6528
Sn 0.5000 0.3472 0.8083
Sn 0.3472 0.8083 0.5000
Sn 0.1917 0.5000 0.3472
Sn 0.5000 0.6528 0.1917
Sn 0.6528 0.8083 0.5000
Sn 0.8083 0.5000 0.3472
Sn 0.3472 0.1917 0.5000
Sn 0.1917 0.5000 0.6528
Sn 0.5000 0.6528 0.8083
Sn 0.5000 0.3472 0.1917
Sn 0.1528 0.0000 0.6917
Sn 0.3083 0.1528 0.0000
Sn 0.0000 0.3083 0.8472
Sn 0.8472 0.0000 0.3083
Sn 0.6917 0.8472 0.0000
Sn 0.0000 0.6917 0.1528
Sn 0.1528 0.0000 0.3083
Sn 0.3083 0.8472 0.0000
Sn 0.8472 0.0000 0.6917
Sn 0.6917 0.1528 0.0000
Sn 0.0000 0.3083 0.1528
Sn 0.0000 0.6917 0.8472
Rh 0.7500 0.2500 0.7500
Rh 0.2500 0.7500 0.2500
Rh 0.7500 0.7500 0.2500
Rh 0.2500 0.2500 0.7500
Rh 0.2500 0.7500 0.7500
Rh 0.7500 0.2500 0.2500
Rh 0.2500 0.2500 0.2500
Rh 0.7500 0.7500 0.7500
```

Entry 3:
Computed, not measured: an optimized crystal structure of CeSnRh at the GGA-PBE level of DFT. Values from VASP.

Computed properties:
ΔH_f (0 K), eV/atom: -0.812
D(E_F), states/eV/f.u.: 4.8

Geometry as Quantum ESPRESSO input:
```
&SYSTEM
  ibrav = 0, nat = 18, ntyp = 3
/
ATOMIC_SPECIES
Ce 140.12 Ce.upf
Sn 118.71 Sn.upf
Rh 102.91 Rh.upf
CELL_PARAMETERS angstrom
-2.2593 -3.1956 0.8283
2.2459 -3.2800 -6.5276
10.1465 -5.5462 6.2779
ATOMIC_POSITIONS crystal
Ce 0.0000 0.2287 0.9560
Ce 0.0000 0.7713 0.0440
Ce 0.0000 0.2287 0.5440
Ce 0.0000 0.7713 0.4560
Ce 0.0000 0.1445 0.2500
Ce 0.0000 0.8555 0.7500
Sn 0.5000 0.4334 0.1216
Sn 0.5000 0.5666 0.8784
Sn 0.5000 0.4334 0.3784
Sn 0.5000 0.5666 0.6216
Sn 0.5000 0.8024 0.2500
Sn 0.5000 0.1976 0.7500
Rh 0.5000 0.0714 0.1020
Rh 0.5000 0.9286 0.8980
Rh 0.5000 0.0714 0.3980
Rh 0.5000 0.9286 0.6020
Rh 0.0000 0.5502 0.2500
Rh 0.0000 0.4498 0.7500
```

Entry 4:
Computed, not measured: an optimized crystal structure of Ce2Sn3Rh5 at the GGA-PBE level of DFT. Values from VASP.

Computed properties:
ΔH_f (0 K), eV/atom: -0.658
D(E_F), states/eV/f.u.: 8.1

Geometry as Quantum ESPRESSO input:
```
&SYSTEM
  ibrav = 0, nat = 20, ntyp = 3
/
ATOMIC_SPECIES
Ce 140.12 Ce.upf
Sn 118.71 Sn.upf
Rh 102.91 Rh.upf
CELL_PARAMETERS angstrom
4.2755 0.0000 -0.7283
0.0000 6.9435 0.0000
0.0370 0.0000 13.1309
ATOMIC_POSITIONS crystal
Ce 0.4771 0.6381 0.9542
Ce 0.1904 0.8627 0.3809
Ce 0.8096 0.3627 0.6191
Ce 0.5229 0.1381 0.0458
Sn 0.7892 0.8729 0.5785
Sn 0.6135 0.4631 0.2271
Sn 0.0627 0.8116 0.1254
Sn 0.2108 0.3729 0.4215
Sn 0.9373 0.3116 0.8746
Sn 0.3865 0.9631 0.7729
Rh 0.3828 0.3860 0.7656
Rh 0.2972 0.6386 0.5944
Rh 0.7028 0.1386 0.4056
Rh 0.1200 0.1687 0.2400
Rh 0.2873 0.0970 0.5746
Rh 0.9631 0.9262 0.9261
Rh 0.7127 0.5970 0.4254
Rh 0.8800 0.6687 0.7600
Rh 0.0369 0.4262 0.0739
Rh 0.6172 0.8860 0.2344
```

Entry 5:
Computed, not measured: an optimized crystal structure of CeSn3Rh3 at the GGA-PBE level of DFT. Values from VASP.

Computed properties:
ΔH_f (0 K), eV/atom: -0.075
D(E_F), states/eV/f.u.: 13.8

Geometry as Quantum ESPRESSO input:
```
&SYSTEM
  ibrav = 0, nat = 14, ntyp = 3
/
ATOMIC_SPECIES
Rh 102.91 Rh.upf
Sn 118.71 Sn.upf
Ce 140.12 Ce.upf
CELL_PARAMETERS angstrom
-3.9815 -5.7289 1.7033
1.9756 -3.1930 -6.1218
5.6408 -2.9254 3.3462
ATOMIC_POSITIONS crystal
Rh 0.0000 0.2500 0.5000
Rh 0.0000 0.7500 0.5000
Rh 0.5000 0.0000 0.7500
Rh 0.7500 0.5000 0.0000
Rh 0.5000 0.0000 0.2500
Rh 0.2500 0.5000 0.0000
Sn 0.2500 0.0000 0.5000
Sn 0.0000 0.5000 0.2500
Sn 0.5000 0.7500 0.0000
Sn 0.7500 0.0000 0.5000
Sn 0.0000 0.5000 0.7500
Sn 0.5000 0.2500 0.0000
Ce 0.5000 0.5000 0.5000
Ce 0.0000 0.0000 0.0000
```

Entry 6:
Computed, not measured: an optimized crystal structure of CeSnRh6 at the GGA-PBE level of DFT. Values from VASP.

Computed properties:
ΔH_f (0 K), eV/atom: -0.449
D(E_F), states/eV/f.u.: 6.3

Geometry as Quantum ESPRESSO input:
```
&SYSTEM
  ibrav = 0, nat = 8, ntyp = 3
/
ATOMIC_SPECIES
Ce 140.12 Ce.upf
Sn 118.71 Sn.upf
Rh 102.91 Rh.upf
CELL_PARAMETERS angstrom
-0.8839 1.5539 -3.6190
-4.8596 -2.9006 -0.0585
-2.6241 4.3436 2.5059
ATOMIC_POSITIONS crystal
Ce 0.5000 0.0000 0.0000
Sn 0.5000 0.5000 0.5000
Rh 0.0000 0.7455 0.2545
Rh 0.0000 0.2545 0.7455
Rh 0.0000 0.7456 0.7456
Rh 0.0000 0.2544 0.2544
Rh 0.5000 0.5000 0.0000
Rh 0.5000 0.0000 0.5000
```